No. 1
## Ti5CoSe10 (GGA-PBEsol)

Data for a geometry-optimized Ti5CoSe10 structure.

## Properties
Space-group type: P-1, No. 2
Total moment (μB per cell): 0.0
Density (g/cm3): 5.99
Electronic total energy (eV for the cell shown): -105.03
Formation energy (no corrections) (meV/atom): -1073.4

a b c (Å): 6.009 6.757 8.347
angles (deg): 106.22 111.28 89.79
Element x y z (fractional)
1 Ti 0.705 0.398 0.397
2 Ti 0.295 0.602 0.603
3 Ti 0.500 0.000 0.000
4 Ti 0.896 0.798 0.797
5 Ti 0.104 0.202 0.203
6 Co 0.000 0.500 0.000
7 Se 0.289 0.639 0.911
8 Se 0.489 0.040 0.307
9 Se 0.685 0.437 0.705
10 Se 0.889 0.839 0.110
11 Se 0.089 0.238 0.507
12 Se 0.111 0.161 0.890
13 Se 0.315 0.563 0.295
14 Se 0.511 0.960 0.693
15 Se 0.711 0.361 0.089
16 Se 0.911 0.762 0.493

---

No. 2
## Mg2GaHg2 (GGA-PBEsol)

Data for a geometry-optimized Mg2GaHg2 structure.

## Properties
Space-group type: I4/mmm, No. 139
Total moment (μB per cell): 0.0
Density (g/cm3): 7.50
Electronic total energy (eV for the cell shown): -7.79
ΔE to the lowest computed polymorph (meV/atom): 167.3

a b c (Å): 4.223 4.223 7.111
angles (deg): 107.27 107.27 90.00
Element x y z (fractional)
1 Mg 0.250 0.750 0.500
2 Mg 0.750 0.250 0.500
3 Hg 0.394 0.394 0.788
4 Hg 0.606 0.606 0.212
5 Ga 0.000 0.000 0.000

---

No. 3
## LaCoRe (GGA-PBEsol)

Data for a geometry-optimized LaCoRe structure.

## Properties
Space-group type: Imm2, No. 44
Total moment (μB per cell): 0.0
Density (g/cm3): 11.77
Electronic total energy (eV for the cell shown): -25.44
ΔE to the lowest computed polymorph (meV/atom): 112.8

a b c (Å): 2.804 3.567 5.873
angles (deg): 107.68 103.81 90.00
Element x y z (fractional)
1 Re 0.377 0.377 0.753
2 Co 0.959 0.959 0.917
3 La 0.665 0.665 0.330